The following is a SCAN calculation of a crystal of As2RhPbSe relaxed with PBEsol, from Alexandria.

VASP energy: -162.277 eV for the cell shown
D(E_F): 4.3 states/eV per cell
calculated volume: 141 Å³/cell

```
data_As2RhPbSe
_cell_length_a 5.198
_cell_length_b 5.198
_cell_length_c 5.237
_cell_angle_alpha 90.00
_cell_angle_beta 90.00
_cell_angle_gamma 90.00
_space_group_name_H-M_alt 'P 1'
_space_group_IT_number 1
loop_
_space_group_symop_operation_xyz
'x,y,z'
loop_
_atom_site_label
_atom_site_type_symbol
_atom_site_fract_x
_atom_site_fract_y
_atom_site_fract_z
Se1 Se 0.000 0.000 0.500
Pb1 Pb 0.000 0.000 0.000
As1 As 0.000 0.500 0.000
Rh1 Rh 0.500 0.500 0.500
As2 As 0.500 0.000 0.000
```